1.
Below is a relaxed CoSiAs crystal, with properties calculated at the GGA-PBE level.

```
CoSiAs
1.0
3.810 -0.739 0.606
1.104 -2.299 2.988
1.443 -3.584 -0.709
Si As Co
1 1 1
Direct
0.750 0.750 0.750
0.250 0.250 0.250
0.000 0.000 0.000
```

Calculated density, g/cm³: 6.275
Relative energy among the computed polymorphs, meV/atom: 0


2.
Below is a relaxed CoSiAs crystal, with properties calculated at the GGA-PBE level.

```
CoSiAs
1.0
0.000 2.846 2.846
2.846 0.000 2.846
2.846 2.846 0.000
Co Si As
1 1 1
Direct
0.750 0.750 0.750
0.000 0.000 0.000
0.250 0.250 0.250
```

Calculated density, g/cm³: 5.830
Relative energy among the computed polymorphs, meV/atom: 544